# NaPrPt, optimized geometry, DFT GGA-PBE
data_NaPrPt
_space_group_name_H-M_alt 'C 1 2/m 1'
_space_group_IT_number 12
_space_group_name_Hall '-C 2y'
_cell_length_a 8.457
_cell_length_b 4.956
_cell_length_c 8.823
_cell_angle_alpha 90.00
_cell_angle_beta 109.06
_cell_angle_gamma 90.00
loop_
_atom_site_label
_atom_site_type_symbol
_atom_site_fract_x
_atom_site_fract_y
_atom_site_fract_z
Na1 Na 0.137 0.000 0.400
Pr1 Pr 0.214 0.500 0.135
Pt1 Pt 0.091 0.500 0.780
# Spin magnetization, μB per formula unit: 0.00
# DOS(E_F), states/eV/cell: 4.36
# Total energy, eV/atom: -4.5515